Density functional theory data (PBE) for a relaxed structure of NbOs2Ru.

a = 3.932 Å, b = 3.917 Å, c = 3.917 Å
α = 90.00°, β = 90.00°, γ = 90.00°
Atoms (fractional coordinates):
Ru  0.500  0.500  0.500
Os  0.000  0.000  0.500
Os  0.000  0.500  0.000
Nb  0.500  0.000  0.000

Properties
Energy of formation from the pure elements: -0.09 eV per atom
Calculated density: 15.8 g/cm³
Density of states at the Fermi level: 1.253 states/eV/atom